Version a
The following is a GGA+U calculation of a relaxed structure of Nd2WO6, from Alexandria.

```
data_Nd2WO6
_chemical_formula_sum 'Nd4 W2 O12'
_symmetry_space_group_name_H-M 'P 1 21/c 1'
_symmetry_Int_Tables_number 14
_cell_length_a 5.639
_cell_length_b 5.992
_cell_length_c 9.527
_cell_angle_alpha 90.00
_cell_angle_beta 120.07
_cell_angle_gamma 90.00
loop_
_symmetry_equiv_pos_as_xyz
'x,y,z'
'-x,-y,-z'
'-x,y+1/2,-z+1/2'
'x,-y+1/2,z+1/2'
loop_
_atom_site_label
_atom_site_type_symbol
_atom_site_fract_x
_atom_site_fract_y
_atom_site_fract_z
Nd1 Nd 0.195 0.075 0.236
W1 W 0.500 0.000 0.000
O1 O 0.173 0.172 0.953
O2 O 0.255 0.743 0.896
O3 O 0.455 0.093 0.793
```

Results
M_tot (μB per formula unit): 0.0
Calculated density (Mg/m³): 6.8
Calculated volume (Å³/atom): 15.48

---

Version b
The following is a GGA+U calculation of a relaxed structure of Nd2WO6, from Alexandria.

```
data_Nd2WO6
_chemical_formula_sum 'Nd8 W4 O24'
_symmetry_space_group_name_H-M 'P 21 21 21'
_symmetry_Int_Tables_number 19
_cell_length_a 5.451
_cell_length_b 9.422
_cell_length_c 10.291
_cell_angle_alpha 90.00
_cell_angle_beta 90.00
_cell_angle_gamma 90.00
loop_
_symmetry_equiv_pos_as_xyz
'x,y,z'
'-x+1/2,-y,z+1/2'
'x+1/2,-y+1/2,-z'
'-x,y+1/2,-z+1/2'
loop_
_atom_site_label
_atom_site_type_symbol
_atom_site_fract_x
_atom_site_fract_y
_atom_site_fract_z
Nd1 Nd 0.023 0.104 0.462
Nd2 Nd 0.035 0.219 0.868
W1 W 0.041 0.496 0.352
O1 O 0.075 0.848 0.028
O2 O 0.170 0.951 0.289
O3 O 0.184 0.638 0.240
O4 O 0.190 0.635 0.821
O5 O 0.223 0.112 0.065
O6 O 0.249 0.588 0.491
```

Results
M_tot (μB per formula unit): 0.0
Calculated density (Mg/m³): 7.1
Calculated volume (Å³/atom): 14.68

---

Most stable structure - version b; separation to the second - 0.062 eV/atom.

---

Version a
The following is a GGA+U calculation of a relaxed structure of NdWO5, from Alexandria.

```
data_NdWO5
_chemical_formula_sum 'Nd4 W4 O20'
_symmetry_space_group_name_H-M 'C 1 2/c 1'
_symmetry_Int_Tables_number 15
_cell_length_a 9.288
_cell_length_b 6.659
_cell_length_c 7.771
_cell_angle_alpha 90.00
_cell_angle_beta 114.44
_cell_angle_gamma 90.00
loop_
_symmetry_equiv_pos_as_xyz
'x,y,z'
'-x,-y,-z'
'-x,y,-z+1/2'
'x,-y,z+1/2'
'x+1/2,y+1/2,z'
'-x+1/2,-y+1/2,-z'
'-x+1/2,y+1/2,-z+1/2'
'x+1/2,-y+1/2,z+1/2'
loop_
_atom_site_label
_atom_site_type_symbol
_atom_site_fract_x
_atom_site_fract_y
_atom_site_fract_z
Nd1 Nd 0.000 0.052 0.250
W1 W 0.000 0.500 0.000
O1 O 0.000 0.432 0.250
O2 O 0.008 0.214 0.965
O3 O 0.224 0.487 0.613
```

Results
M_tot (μB per formula unit): 1.0
Calculated density (Mg/m³): 6.2
Calculated volume (Å³/atom): 15.63

---

Version b
The following is a GGA+U calculation of a relaxed structure of NdWO5, from Alexandria.

```
data_NdWO5
_chemical_formula_sum 'Nd4 W4 O20'
_symmetry_space_group_name_H-M 'P 1 21/c 1'
_symmetry_Int_Tables_number 14
_cell_length_a 5.446
_cell_length_b 13.057
_cell_length_c 7.265
_cell_angle_alpha 90.00
_cell_angle_beta 116.63
_cell_angle_gamma 90.00
loop_
_symmetry_equiv_pos_as_xyz
'x,y,z'
'-x,-y,-z'
'-x,y+1/2,-z+1/2'
'x,-y+1/2,z+1/2'
loop_
_atom_site_label
_atom_site_type_symbol
_atom_site_fract_x
_atom_site_fract_y
_atom_site_fract_z
Nd1 Nd 0.137 0.055 0.288
W1 W 0.368 0.139 0.856
O1 O 0.053 0.094 0.583
O2 O 0.142 0.084 0.961
O3 O 0.304 0.623 0.415
O4 O 0.322 0.225 0.324
O5 O 0.493 0.065 0.677
```

Results
M_tot (μB per formula unit): 1.1
Calculated density (Mg/m³): 5.9
Calculated volume (Å³/atom): 16.50

---

Most stable structure - version a; separation to the second - 0.011 eV/atom.